DFT (GGA-PBE) results for Ca6Br2N3Cl after structural relaxation.

Energy relative to the elements, uncorrected: -1.46 eV/atom
Volume: 20.34 Å³ per atom
Electronic total energy: -4.97 eV/atom

Cell lengths 3.7031, 3.7031, 20.5524 Å; angles 90.00, 90.00, 120.00 degrees
Last column: nearest neighbours and their distance in Å.
Space group P-3m1 (No. 164)
One atom of each set of equivalent atoms:
Ca: 0.0000 0.0000 0.2210  3 N 2.47
Ca: 0.3333 0.6667 0.4402  3 N 2.47
Ca: 0.3333 0.6667 0.8986  3 N 2.47
Br: 0.3333 0.6667 0.6694  6 Ca 3.11
N: 0.0000 0.0000 0.5000  6 Ca 2.47
N: 0.3333 0.6667 0.1612  6 Ca 2.47
Cl: 0.0000 0.0000 0.0000  6 Ca 2.99

DFT (GGA-PBE) results for Cd2InAgI6 after structural relaxation.

Energy relative to the elements, uncorrected: -0.47 eV/atom
Volume: 45.44 Å³ per atom
Electronic total energy: -2.14 eV/atom

Cell lengths 15.7008, 14.6722, 8.4313 Å; angles 90.00, 110.66, 90.00 degrees
Last column: nearest neighbours and their distance in Å.
Space group C2/c (No. 15)
One atom of each set of equivalent atoms:
Cd: 0.1881 0.0735 0.2041  4 I 2.83-2.88
In: 0.0000 0.3743 0.2500  6 I 3.47-3.56
Ag: 0.0000 0.2952 0.7500  4 I 2.80-3.02
I: 0.1184 0.4355 0.6670  1 Cd 2.85, 1 Ag 3.02
I: 0.1235 0.0766 0.4842  2 Cd 2.83-2.88
I: 0.1301 0.2479 0.0643  1 Ag 2.80, 1 Cd 2.83